1.
The following is a DFT calculation (GGA-PBEsol) of an optimized crystal structure of GeTe2Mo.

Cell and atoms, written as CIF:
```
data_GeTe2Mo
_cell_length_a 3.3618
_cell_length_b 3.3618
_cell_length_c 29.0175
_cell_angle_alpha 90.00
_cell_angle_beta 90.00
_cell_angle_gamma 120.00
_symmetry_space_group_name_H-M 'R -3 m'
_symmetry_Int_Tables_number 166
_symmetry_space_group_name_Hall '-R 3 2"'
loop_
_atom_site_label
_atom_site_type_symbol
_atom_site_fract_x
_atom_site_fract_y
_atom_site_fract_z
Ge1 Ge 0.0000 0.0000 0.0000
Te1 Te 0.0000 0.0000 0.1014
Mo1 Mo 0.0000 0.0000 0.5000
```

Results
Fermi-level density of states: 0.502 states/eV per atom
Calculated total energy: -69.5 eV per cell

---

2.
The following is a DFT calculation (GGA-PBEsol) of an optimized crystal structure of GeTe2Mo.

Cell and atoms, written as CIF:
```
data_GeTe2Mo
_cell_length_a 3.1115
_cell_length_b 3.1115
_cell_length_c 31.6494
_cell_angle_alpha 90.00
_cell_angle_beta 90.00
_cell_angle_gamma 120.00
_symmetry_space_group_name_H-M 'R -3 m'
_symmetry_Int_Tables_number 166
_symmetry_space_group_name_Hall '-R 3 2"'
loop_
_atom_site_label
_atom_site_type_symbol
_atom_site_fract_x
_atom_site_fract_y
_atom_site_fract_z
Ge1 Ge 0.0000 0.0000 0.0000
Te1 Te 0.0000 0.0000 0.4161
Mo1 Mo 0.0000 0.0000 0.5000
```

Results
Fermi-level density of states: 0.828 states/eV per atom
Calculated total energy: -62.1 eV per cell

---

3.
The following is a DFT calculation (GGA-PBEsol) of an optimized crystal structure of Ti2Ge2Mo.

Cell and atoms, written as CIF:
```
data_Ti2Ge2Mo
_cell_length_a 6.6057
_cell_length_b 6.6057
_cell_length_c 3.4899
_cell_angle_alpha 90.00
_cell_angle_beta 90.00
_cell_angle_gamma 90.00
_symmetry_space_group_name_H-M 'P 4/m b m'
_symmetry_Int_Tables_number 127
_symmetry_space_group_name_Hall '-P 4 2ab'
loop_
_atom_site_label
_atom_site_type_symbol
_atom_site_fract_x
_atom_site_fract_y
_atom_site_fract_z
Ti1 Ti 0.1703 0.3297 0.0000
Ge1 Ge 0.1331 0.6331 0.5000
Mo1 Mo 0.0000 0.0000 0.5000
```

Results
Energy of formation: -0.61 eV per atom
Fermi-level density of states: 0.345 states/eV per atom

---

4.
The following is a DFT calculation (GGA-PBEsol) of an optimized crystal structure of GeMoW3.

Cell and atoms, written as CIF:
```
data_GeMoW3
_cell_length_a 4.4970
_cell_length_b 4.4970
_cell_length_c 4.4970
_cell_angle_alpha 90.00
_cell_angle_beta 90.00
_cell_angle_gamma 90.00
_symmetry_space_group_name_H-M 'P m -3 m'
_symmetry_Int_Tables_number 221
_symmetry_space_group_name_Hall '-P 4 2 3'
loop_
_atom_site_label
_atom_site_type_symbol
_atom_site_fract_x
_atom_site_fract_y
_atom_site_fract_z
Ge1 Ge 0.0000 0.0000 0.0000
Mo1 Mo 0.5000 0.5000 0.5000
W1 W 0.0000 0.0000 0.5000
```

Results
Energy of formation: 1.83 eV per atom
Fermi-level density of states: 1.061 states/eV per atom